The following is a DFT calculation (PBE-GGA) of a relaxed structure of Li2CdInHg8.

Values from the calculation:
As for the calculated formation energy: -0.03 eV per atom. As for the density of states at the Fermi level: 0.312 states/eV/atom. The calculation puts the electronic total energy at -10.2 eV for the cell shown. For the total moment, the calculation gives 0.0 μB/f.u.

Unit cell a=6.2957 b=6.2957 c=8.9808 alpha=90.00 beta=90.00 gamma=120.00
Last column: nearest neighbours and their distance in Å.
Element x y z (fractional)
Li (0.6667, 0.3333, 0.0724)  4 Hg 3.01-3.30
Hg (0.3535, 0.1768, 0.7581)  1 Cd 2.90, 2 Hg 2.96, 1 In 3.01
In (0.0000, 0.0000, 0.5000)  6 Hg 3.01
Cd (0.0000, 0.0000, 0.0000)  6 Hg 2.90
Li (0.3333, 0.6667, 0.9276)  4 Hg 3.01-3.30
Hg (0.8232, 0.1768, 0.7581)  1 Cd 2.90, 2 Hg 2.96, 1 In 3.01
Hg (0.1768, 0.8232, 0.2419)  1 Cd 2.90, 2 Hg 2.96, 1 In 3.01
Hg (0.6465, 0.8232, 0.2419)  1 Cd 2.90, 2 Hg 2.96, 1 In 3.01
Hg (0.3333, 0.6667, 0.5926)  1 Li 3.01
Hg (0.1768, 0.3535, 0.2419)  1 Cd 2.90, 2 Hg 2.96, 1 In 3.01
Hg (0.6667, 0.3333, 0.4074)  1 Li 3.01
Hg (0.8232, 0.6465, 0.7581)  1 Cd 2.90, 2 Hg 2.96, 1 In 3.01



The following is a DFT calculation (PBE-GGA) of a relaxed structure of LiCdIn3Hg.

Values from the calculation:
As for the calculated formation energy: -0.06 eV per atom. As for the density of states at the Fermi level: 0.451 states/eV/atom. The calculation puts the electronic total energy at -23.4 eV for the cell shown. For the total moment, the calculation gives 0.0 μB/f.u.

Unit cell a=3.7303 b=8.0941 c=9.9114 alpha=90.00 beta=90.00 gamma=103.32
Last column: nearest neighbours and their distance in Å.
Element x y z (fractional)
Hg (0.0000, 0.0000, 0.5000)  6 In 3.14-3.19, 4 Li 3.17
In (0.6640, 0.3281, 0.0089)  1 Li 3.08, 3 Cd 3.09-3.31, 2 Hg 3.19, 4 In 3.24-3.29
Li (0.5403, 0.0806, 0.2500)  4 In 3.08-3.17, 4 Hg 3.17, 2 Cd 3.18
In (0.3360, 0.6719, 0.5089)  1 Li 3.08, 3 Cd 3.09-3.31, 2 Hg 3.19, 4 In 3.24-3.29
In (0.8774, 0.7549, 0.2500)  2 Hg 3.14, 2 Li 3.17, 4 In 3.24, 2 Cd 3.31
In (0.1226, 0.2451, 0.7500)  2 Hg 3.14, 2 Li 3.17, 4 In 3.24, 2 Cd 3.31
In (0.3360, 0.6719, 0.9911)  1 Li 3.08, 3 Cd 3.09-3.31, 2 Hg 3.19, 4 In 3.24-3.29
In (0.6640, 0.3281, 0.4911)  1 Li 3.08, 3 Cd 3.09-3.31, 2 Hg 3.19, 4 In 3.24-3.29
Cd (0.2036, 0.4073, 0.2500)  8 In 3.09-3.31, 2 Li 3.18
Hg (0.0000, 0.0000, 0.0000)  6 In 3.14-3.19, 4 Li 3.17
Cd (0.7964, 0.5927, 0.7500)  8 In 3.09-3.31, 2 Li 3.18
Li (0.4597, 0.9194, 0.7500)  4 In 3.08-3.17, 4 Hg 3.17, 2 Cd 3.18



The following is a DFT calculation (PBE-GGA) of a relaxed structure of Li2Cd4In2Hg3.

Values from the calculation:
As for the calculated formation energy: -0.09 eV per atom. As for the density of states at the Fermi level: 0.277 states/eV/atom. The calculation puts the electronic total energy at -14.8 eV for the cell shown. For the total moment, the calculation gives 0.0 μB/f.u.

Unit cell a=4.8133 b=4.8133 c=12.7625 alpha=90.00 beta=90.00 gamma=120.00
Last column: nearest neighbours and their distance in Å.
Element x y z (fractional)
Hg (0.0000, 0.0000, 0.7558)  6 Cd 2.96-3.03, 1 Hg 3.12
Hg (0.0000, 0.0000, 0.0000)  6 Li 2.95, 2 Hg 3.12
In (0.3333, 0.6667, 0.5681)  4 Cd 3.10-3.11, 3 In 3.28
Cd (0.3333, 0.6667, 0.3244)  3 Hg 2.96, 4 In 3.10-3.11, 1 Li 3.14
Li (0.6667, 0.3333, 0.9214)  5 Cd 2.92-3.14, 3 Hg 2.95
Cd (0.6667, 0.3333, 0.6756)  3 Hg 2.96, 4 In 3.10-3.11, 1 Li 3.14
In (0.6667, 0.3333, 0.4319)  4 Cd 3.10-3.11, 3 In 3.28
Cd (0.3333, 0.6667, 0.8495)  4 Li 2.92-2.93, 3 Hg 3.03
Cd (0.6667, 0.3333, 0.1505)  4 Li 2.92-2.93, 3 Hg 3.03
Li (0.3333, 0.6667, 0.0786)  5 Cd 2.92-3.14, 3 Hg 2.95
Hg (0.0000, 0.0000, 0.2442)  6 Cd 2.96-3.03, 1 Hg 3.12



The following is a DFT calculation (PBE-GGA) of a relaxed structure of Li2Cd2InHg.

Values from the calculation:
As for the calculated formation energy: -0.13 eV per atom. As for the density of states at the Fermi level: 0.238 states/eV/atom. The calculation puts the electronic total energy at -18.9 eV for the cell shown. For the total moment, the calculation gives 0.0 μB/f.u.

Unit cell a=5.9721 b=6.1736 c=7.2504 alpha=100.12 beta=90.00 gamma=90.00
Last column: nearest neighbours and their distance in Å.
Element x y z (fractional)
Li (0.7500, 0.4731, 0.5035)  1 Hg 2.70, 2 Cd 2.96, 3 Li 2.99-3.01
In (0.2500, 0.3678, 0.8745)  2 Li 2.87-3.07, 3 Hg 3.06-3.11, 2 Cd 3.17
Cd (0.0014, 0.8125, 0.7985)  4 Li 2.96-3.11, 2 Cd 2.97-3.00, 1 Hg 3.10, 2 In 3.17-3.25
Li (0.2500, 0.5269, 0.4965)  1 Hg 2.70, 2 Cd 2.96, 3 Li 2.99-3.01
Cd (0.5014, 0.1875, 0.2015)  4 Li 2.96-3.11, 2 Cd 2.97-3.00, 1 Hg 3.10, 2 In 3.17-3.25
Cd (0.4986, 0.8125, 0.7985)  4 Li 2.96-3.11, 2 Cd 2.97-3.00, 1 Hg 3.10, 2 In 3.17-3.25
Li (0.7500, 0.9482, 0.4665)  1 Hg 2.74, 1 In 2.87, 1 Li 2.99, 2 Cd 3.01
Li (0.2500, 0.0518, 0.5335)  1 Hg 2.74, 1 In 2.87, 1 Li 2.99, 2 Cd 3.01
In (0.7500, 0.6322, 0.1255)  2 Li 2.87-3.07, 3 Hg 3.06-3.11, 2 Cd 3.17
Cd (0.9986, 0.1875, 0.2015)  4 Li 2.96-3.11, 2 Cd 2.97-3.00, 1 Hg 3.10, 2 In 3.17-3.25
Hg (0.7500, 0.2502, 0.7927)  2 Li 2.70-2.74
Hg (0.2500, 0.7498, 0.2073)  2 Li 2.70-2.74



The following is a DFT calculation (PBE-GGA) of a relaxed structure of Li2CdInHg4.

Values from the calculation:
As for the calculated formation energy: -0.19 eV per atom. As for the density of states at the Fermi level: 0.350 states/eV/atom. The calculation puts the electronic total energy at -10.2 eV for the cell shown. For the total moment, the calculation gives 0.0 μB/f.u.

Unit cell a=4.9843 b=4.9843 c=8.5963 alpha=73.15 beta=73.15 gamma=60.00
Last column: nearest neighbours and their distance in Å.
Element x y z (fractional)
Cd (0.5000, 0.5000, 0.5000)  8 Hg 2.99-3.04
Li (0.2498, 0.2498, 0.2505)  8 Hg 2.99-3.09
Hg (0.8734, 0.8734, 0.3799)  4 Li 2.99-3.06, 3 Cd 3.04, 1 In 3.08
Li (0.7502, 0.7502, 0.7495)  8 Hg 2.99-3.09
Hg (0.6230, 0.6230, 0.1309)  1 Cd 2.99, 4 Li 3.04-3.09, 3 In 3.07
In (0.0000, 0.0000, 0.0000)  8 Hg 3.07-3.08
Hg (0.1266, 0.1266, 0.6201)  4 Li 2.99-3.06, 3 Cd 3.04, 1 In 3.08
Hg (0.3770, 0.3770, 0.8691)  1 Cd 2.99, 4 Li 3.04-3.09, 3 In 3.07



The following is a DFT calculation (PBE-GGA) of a relaxed structure of Li3Cd4In2Hg2.

Values from the calculation:
As for the calculated formation energy: -0.12 eV per atom. As for the density of states at the Fermi level: 0.445 states/eV/atom. The calculation puts the electronic total energy at -16.9 eV for the cell shown. For the total moment, the calculation gives 0.0 μB/f.u.

Unit cell a=4.8764 b=4.8764 c=12.4732 alpha=90.00 beta=90.00 gamma=120.00
Last column: nearest neighbours and their distance in Å.
Element x y z (fractional)
In (0.6667, 0.3333, 0.4136)  5 Cd 2.98-3.21
Li (0.0000, 0.0000, 0.7458)  6 Cd 3.00-3.07, 1 Li 3.17
Cd (0.3333, 0.6667, 0.8435)  4 Hg 2.92-3.13, 3 Li 3.07, 1 In 3.21
Hg (0.6667, 0.3333, 0.9055)  5 Cd 2.92-3.13, 3 Li 3.05
Hg (0.3333, 0.6667, 0.0945)  5 Cd 2.92-3.13, 3 Li 3.05
Li (0.0000, 0.0000, 0.0000)  6 Hg 3.05, 2 Li 3.17
In (0.3333, 0.6667, 0.5864)  5 Cd 2.98-3.21
Cd (0.3333, 0.6667, 0.3365)  4 In 2.98-3.12, 3 Li 3.00, 1 Hg 3.02
Cd (0.6667, 0.3333, 0.1565)  4 Hg 2.92-3.13, 3 Li 3.07, 1 In 3.21
Li (0.0000, 0.0000, 0.2542)  6 Cd 3.00-3.07, 1 Li 3.17
Cd (0.6667, 0.3333, 0.6635)  4 In 2.98-3.12, 3 Li 3.00, 1 Hg 3.02